First-principles (PBE-GGA) data for an optimized crystal structure of Y2Hg2Au, as listed in Alexandria via LeMat-Bulk.

## Properties
formation energy from the elements: -0.25 eV/atom
raw total energy: -3.62 eV per atom
space group: I4/mmm (139)
offset from the most stable computed form: 1.237 eV per formula unit
size of the total moment: 0.00 Bohr magnetons per cell

a b c (Å): 3.990 3.990 16.901
angles (deg): 90.00 90.00 90.00
Fractional positions:
Y 0.000 0.000 0.096
Y 0.000 0.000 0.904
Y 0.500 0.500 0.404
Y 0.500 0.500 0.596
Hg 0.000 0.500 0.250
Hg 0.000 0.500 0.750
Hg 0.500 0.000 0.250
Hg 0.500 0.000 0.750
Au 0.000 0.000 0.500
Au 0.500 0.500 0.000

First-principles (PBE-GGA) data for an optimized crystal structure of Ba2Li3, as listed in Alexandria via LeMat-Bulk.

## Properties
formation energy from the elements: 0.06 eV/atom
raw total energy: -1.85 eV per atom
space group: P-3m1 (164)
offset from the most stable computed form: 0.167 eV per formula unit
size of the total moment: 0.17 Bohr magnetons per cell

a b c (Å): 4.882 4.882 9.917
angles (deg): 90.00 90.00 120.00
Fractional positions:
Ba 0.333 0.667 0.189
Ba 0.667 0.333 0.811
Li 0.000 0.000 0.500
Li 0.333 0.667 0.562
Li 0.667 0.333 0.438